Record 1
10
Lattice="-5.319 5.319 3.153 5.319 -5.319 3.153 5.319 5.319 -3.153" Properties=species:S:1:pos:R:3 comment="Pm4Pr5Y | Alexandria via LeMat-Bulk | PBE-GGA | relaxed" de_polymorph_kj_per_mol_atoms=21.2 spacegroup="No. 79" density_g_cm3=6.393 pbc="T T T"
Pm 7.172 0.008 0.000
Pm 0.008 3.466 0.000
Pm 5.311 1.853 3.153
Pm -1.853 5.311 3.153
Pr 0.000 0.000 1.630
Pr 3.310 3.296 0.194
Pr 2.023 -2.009 3.346
Pr 3.296 7.328 0.194
Pr 2.009 2.023 3.346
Y 0.000 0.000 5.012

Record 2
16
Lattice="5.896 0.000 0.000 0.000 14.824 0.000 0.000 0.000 6.396" Properties=species:S:1:pos:R:3 comment="Pm3Pr3Y2 | Alexandria via LeMat-Bulk | PBE-GGA | relaxed" de_polymorph_kj_per_mol_atoms=1.1 spacegroup="No. 59" density_g_cm3=6.152 pbc="T T T"
Pm 1.474 1.865 1.087
Pm 1.474 5.547 1.087
Pm 1.474 11.118 4.221
Pm 4.422 3.706 2.175
Pm 4.422 9.277 5.309
Pm 4.422 12.959 5.309
Pr 1.474 0.000 4.269
Pr 1.474 3.706 4.300
Pr 1.474 7.412 4.269
Pr 4.422 14.824 2.127
Pr 4.422 7.412 2.127
Pr 4.422 11.118 2.096
Y 1.474 9.272 1.031
Y 1.474 12.964 1.031
Y 4.422 1.860 5.364
Y 4.422 5.552 5.364

Record 3
13
Lattice="3.713 2.144 9.114 -3.713 2.144 9.114 0.000 -4.288 9.114" Properties=species:S:1:pos:R:3 comment="Pm4PrY8 | Alexandria via LeMat-Bulk | PBE-GGA | relaxed" spacegroup="No. 166" final_energy_ev_per_atom=-5.616 density_g_cm3=5.463 pbc="T T T"
Pm 0.000 0.000 0.000
Pm -1.857 -1.072 9.114
Pm -1.857 1.072 18.227
Pm 0.000 2.144 9.114
Pr 0.000 0.000 13.671
Y -2.071 -1.196 15.409
Y 0.000 0.000 5.964
Y 0.000 -2.391 11.932
Y -2.071 1.196 11.932
Y 2.071 -1.196 15.409
Y 0.000 2.391 15.409
Y 0.000 0.000 21.377
Y 2.071 1.196 11.932

| no. | total magnetic moment (μB per atom) |
| --- | --- |
| 1 | 0.0000 |
| 2 | 0.0000 |
| 3 | 0.0000 |